[1]
Computed, not measured: a relaxed structure of LaAs2AuC at the PBE level of DFT.

a = 5.726 Å, b = 5.726 Å, c = 5.666 Å
α = 90.00°, β = 90.00°, γ = 90.00°
Space group P4/mmm (No. 123)
Unique sites:
La1 0.000 0.000 0.000 x1
As1 0.000 0.500 0.000 x2
Au1 0.000 0.000 0.500 x1
C1 0.500 0.500 0.500 x1

Values from the calculation:
V	37.148	Å³/atom
energy of formation from the pure elements	2039	meV/atom
D(E_F)	6.39	states/eV/f.u.
crystal system	tetragonal

[2]
Computed, not measured: a relaxed structure of K4Au2I at the PBE level of DFT.

a = 6.592 Å, b = 6.592 Å, c = 16.258 Å
α = 90.00°, β = 90.00°, γ = 90.00°
Space group I4/mmm (No. 139)
Unique sites:
K1 0.000 0.000 0.214 x4
K2 0.000 0.500 0.000 x4
Au1 0.000 0.000 0.413 x4
I1 0.000 0.000 0.000 x2

Values from the calculation:
V	50.456	Å³/atom
energy relative to the elements, uncorrected	-476	meV per atom
D(E_F)	2.62	states/eV/f.u.
crystal system	tetragonal
energy above the most stable polymorph in this dataset	1.46	kcal/mol of atoms

[3]
Computed, not measured: a relaxed structure of Ba4AsPdI2 at the PBE level of DFT.

a = 8.332 Å, b = 4.770 Å, c = 8.904 Å
α = 90.00°, β = 107.05°, γ = 90.00°
Space group P2/m (No. 10)
Unique sites:
Ba1 0.238 0.000 0.208 x2
Ba2 0.260 0.500 0.802 x2
As1 0.500 0.000 0.000 x1
Pd1 0.000 0.500 0.000 x1
I1 0.000 0.000 0.500 x1
I2 0.500 0.500 0.500 x1

Values from the calculation:
V	42.290	Å³/atom
energy relative to the elements, uncorrected	-1209	meV per atom
D(E_F)	3.45	states/eV/f.u.
crystal system	monoclinic

[4]
Computed, not measured: a relaxed structure of CsPmHg at the PBE level of DFT.

a = 17.754 Å, b = 4.156 Å, c = 7.181 Å
α = 90.00°, β = 90.00°, γ = 90.00°
Space group Amm2 (No. 38)
Unique sites:
Cs1 0.166 0.000 0.000 x4
Pm1 0.385 0.000 0.334 x4
Hg1 0.000 0.000 0.335 x2
Hg2 0.500 0.000 0.000 x2

Values from the calculation:
V	44.159	Å³/atom
energy of formation from the pure elements	95	meV/atom
D(E_F)	3.38	states/eV/f.u.
crystal system	orthorhombic

[5]
Computed, not measured: a relaxed structure of Cs2SbAsF6 at the PBE level of DFT.

a = 6.217 Å, b = 6.217 Å, c = 11.948 Å
α = 90.00°, β = 90.00°, γ = 90.00°
Space group I4/mmm (No. 139)
Unique sites:
Cs1 0.000 0.500 0.250 x4
Sb1 0.000 0.000 0.000 x2
As1 0.000 0.000 0.500 x2
F1 0.000 0.000 0.182 x4
F2 0.249 0.249 0.500 x8

Values from the calculation:
V	23.092	Å³/atom
energy relative to the elements, uncorrected	-2135	meV per atom
D(E_F)	0.00	states/eV/f.u.
crystal system	tetragonal

[6]
Computed, not measured: a relaxed structure of Cs3MgPb at the PBE level of DFT.

a = 13.153 Å, b = 11.887 Å, c = 9.995 Å
α = 90.00°, β = 124.98°, γ = 90.00°
Space group C2/m (No. 12)
Unique sites:
Cs1 0.024 0.000 0.250 x4
Cs2 0.215 0.301 0.236 x8
Mg1 0.145 0.500 0.811 x4
Pb1 0.114 0.500 0.482 x4

Values from the calculation:
V	64.019	Å³/atom
energy of formation from the pure elements	48	meV/atom
D(E_F)	4.01	states/eV/f.u.
crystal system	monoclinic
energy above the most stable polymorph in this dataset	0.00	kcal/mol of atoms

[7]
Computed, not measured: a relaxed structure of TbPm3Sn3 at the PBE level of DFT.

a = 9.3008 Å, b = 9.3008 Å, c = 18.7402 Å
α = 90.00°, β = 90.00°, γ = 120.00°
Space group R-3 (No. 148, hexagonal axes)
Unique sites:
Tb1 0.0000 0.0000 0.1671 x6
Pm1 0.0075 0.7382 0.5917 x18
Sn1 0.0038 0.6175 0.4258 x18

Values from the calculation:
V	33.427	Å³/atom
energy of formation from the pure elements	-569	meV/atom
D(E_F)	6.87	states/eV/f.u.
crystal system	trigonal

[8]
Computed, not measured: a relaxed structure of MgScCu2 at the PBE level of DFT.

a = 4.107 Å, b = 4.107 Å, c = 17.789 Å
α = 90.00°, β = 90.00°, γ = 90.00°
Space group I-42d (No. 122)
Unique sites:
Mg1 0.000 0.000 0.000 x4
Sc1 0.000 0.000 0.500 x4
Cu1 0.189 0.250 0.125 x8

Values from the calculation:
V	18.756	Å³/atom
energy of formation from the pure elements	317	meV/atom
D(E_F)	2.17	states/eV/f.u.
crystal system	tetragonal

Which of these has the highest D(E_F)?
TbPm3Sn3